1.
Here is crystalline NaLiHf2B at its relaxed geometry from Alexandria via LeMat-Bulk. Energies are from PBE.

The total DFT energy (no corrections) comes out at -4.03 eV per atom.

It has space group P4/mmm (No. 123), with a = 5.106 Å, b = 5.106 Å, c = 3.540 Å, α = 90.00°, β = 90.00° and γ = 90.00°. The asymmetric unit holds Na at (0.000, 0.000, 0.000), Li at (0.000, 0.000, 0.500), Hf at (0.000, 0.500, 0.000) and B at (0.500, 0.500, 0.500).


2.
Here is crystalline KNaTlSb2 at its relaxed geometry from Alexandria via LeMat-Bulk. Energies are from PBE.

The total DFT energy (no corrections) comes out at -2.85 eV per atom. The calculation puts the formation energy (no corrections) at -1.223 eV per formula unit.

It has space group Imm2 (No. 44), with a = 4.253 Å, b = 5.325 Å, c = 14.829 Å, α = 90.00°, β = 90.00° and γ = 90.00°. The asymmetric unit holds K at (0.000, 0.000, 0.000), Na at (0.000, 0.500, 0.723), Tl at (0.000, 0.000, 0.387), Sb at (0.000, 0.000, 0.608) and Sb at (0.000, 0.500, 0.251).


3.
Here is crystalline FeRe2I at its relaxed geometry from Alexandria via LeMat-Bulk. Energies are from PBE.

The total DFT energy (no corrections) comes out at -7.21 eV per atom. The calculation puts the formation energy (no corrections) at 6.056 eV per formula unit.

It has space group I-42d (No. 122), with a = 5.550 Å, b = 5.550 Å, c = 11.359 Å, α = 90.00°, β = 90.00° and γ = 90.00°. The asymmetric unit holds Fe at (0.000, 0.000, 0.000), Re at (0.188, 0.250, 0.125) and I at (0.000, 0.000, 0.500).


4.
Here is crystalline Li2AgAs2 at its relaxed geometry from Alexandria via LeMat-Bulk. Energies are from PBE.

The total DFT energy (no corrections) comes out at -3.34 eV per atom.

It has space group I4/mmm (No. 139), with a = 4.105 Å, b = 4.105 Å, c = 10.889 Å, α = 90.00°, β = 90.00° and γ = 90.00°. The asymmetric unit holds Li at (0.000, 0.500, 0.250), Ag at (0.000, 0.000, 0.000) and As at (0.000, 0.000, 0.391).